# 1
LaScSb | meta-GGA SCAN | PBEsol geometry

Properties
DFT total energy in eV per cell: -195.20
M_tot in μB per cell: 3.692
Formation energy (no corrections) in eV per atom: -0.998

a b c (Å): 8.851 8.851 8.851
angles (deg): 150.70 150.70 41.92
Atoms (fractional coordinates):
La 0.174 0.174 0.000
La 0.826 0.826 0.000
Sc 0.000 0.500 0.500
Sc 0.500 0.000 0.500
Sb 0.376 0.376 0.000
Sb 0.624 0.624 0.000


# 2
La2ScSb | meta-GGA SCAN | PBEsol geometry

Properties
DFT total energy in eV per cell: -139.64
M_tot in μB per cell: 0.001
Formation energy (no corrections) in eV per atom: -0.482

a b c (Å): 6.048 6.048 6.048
angles (deg): 134.41 134.41 66.45
Atoms (fractional coordinates):
La 0.250 0.750 0.500
La 0.750 0.250 0.500
Sc 0.000 0.000 0.000
Sb 0.500 0.500 0.000


# 3
LaSb2Se | meta-GGA SCAN | PBEsol geometry

Properties
DFT total energy in eV per cell: -140.48
M_tot in μB per cell: 0.000
Formation energy (no corrections) in eV per atom: -0.694

a b c (Å): 5.998 5.998 5.998
angles (deg): 135.90 135.90 64.13
Atoms (fractional coordinates):
La 0.000 0.000 0.000
Sb 0.500 0.500 0.000
Sb 0.750 0.250 0.500
Se 0.250 0.750 0.500


# 4
LaSb2Se | meta-GGA SCAN | PBEsol geometry

Properties
DFT total energy in eV per cell: -140.86
M_tot in μB per cell: 0.000
Formation energy (no corrections) in eV per atom: -0.789

a b c (Å): 5.766 5.766 5.766
angles (deg): 137.56 123.95 72.76
Atoms (fractional coordinates):
La 0.000 0.000 0.000
Sb 0.505 0.505 0.000
Sb 0.721 0.221 0.500
Se 0.277 0.777 0.500


# 5
LaSb2Se | meta-GGA SCAN | PBEsol geometry

Properties
DFT total energy in eV per cell: -141.64
M_tot in μB per cell: 0.000
Formation energy (no corrections) in eV per atom: -0.985

a b c (Å): 6.356 6.356 4.298
angles (deg): 109.68 109.68 39.53
Atoms (fractional coordinates):
La 0.000 0.000 0.000
Sb 0.250 0.250 0.749
Sb 0.750 0.750 0.251
Se 0.500 0.500 0.500


# 6
La3SbSe | meta-GGA SCAN | PBEsol geometry

Properties
DFT total energy in eV per cell: -188.24
M_tot in μB per cell: 2.381
Formation energy (no corrections) in eV per atom: -0.317

a b c (Å): 5.890 5.890 5.890
angles (deg): 90.00 90.00 90.00
Atoms (fractional coordinates):
La 0.000 0.000 0.500
La 0.000 0.500 0.000
La 0.500 0.000 0.000
Sb 0.000 0.000 0.000
Se 0.500 0.500 0.500


# 7
LaZn2SbSe | meta-GGA SCAN | PBEsol geometry

Properties
DFT total energy in eV per cell: -127.63
M_tot in μB per cell: 0.001
Formation energy (no corrections) in eV per atom: -0.032

a b c (Å): 4.921 4.921 5.639
angles (deg): 90.00 90.00 90.00
Atoms (fractional coordinates):
La 0.000 0.000 0.000
Zn 0.000 0.500 0.500
Zn 0.500 0.000 0.500
Sb 0.500 0.500 0.500
Se 0.500 0.500 0.000


# 8
LaSi2Sb | meta-GGA SCAN | PBEsol geometry

Properties
DFT total energy in eV per cell: -100.97
M_tot in μB per cell: 0.000
Formation energy (no corrections) in eV per atom: -0.144

a b c (Å): 3.773 3.773 6.274
angles (deg): 90.00 90.00 90.00
Atoms (fractional coordinates):
La 0.000 0.000 0.000
Si 0.500 0.500 0.305
Si 0.500 0.500 0.695
Sb 0.000 0.000 0.500


What is the DFT total energy in the fifth record?
-141.64 eV per cell


The highest formation energy (no corrections) belongs to which entry?
LaZn2SbSe


Which value of formation energy (no corrections) does entry 4 give?
-0.789 eV per atom


Which formula does entry 6 have?
La3SbSe